Compound: ScBRh
Source: Alexandria
Functional: PBE
Structure: relaxed

Computed properties:
* excess energy over the best structure of this formula in the dataset: 4.04 kJ/mol of atoms
* symmetry: Imm2 (44)
* magnetic moment: 0.000 μB/atom

Lattice parameters (Å, degrees): 7.8271 5.1675 4.2867 90.00 90.00 90.00
Fractional positions:
Sc  0.7088  0.0000  0.7434
B  0.5000  0.3404  0.4561
B  0.0000  0.8404  0.9561
Rh  0.0000  0.5000  0.7285
Sc  0.2088  0.5000  0.2434
B  0.0000  0.1596  0.9561
Rh  0.5000  0.5000  0.9152
B  0.5000  0.6596  0.4561
Sc  0.2912  0.0000  0.7434
Rh  0.0000  0.0000  0.4152
Sc  0.7912  0.5000  0.2434
Rh  0.5000  0.0000  0.2285